## LaY2 (PBE)

Data for a relaxed LaY2 crystal.

Calculated values
Theoretical density in g/cm³: 5.16
Space-group type: P-62m (189)
Formation energy in meV/atom: 57
Size of the total moment in μB per cell: 0.0
E above lowest polymorph in meV per atom: 42

Lattice parameters (Å, degrees): 9.900 9.900 3.602 90.00 90.00 120.00
Sites, in units of the cell vectors:
La (0.000, 0.000, 0.000)
La (0.333, 0.667, 0.500)
La (0.667, 0.333, 0.500)
Y (0.000, 0.310, 0.500)
Y (0.000, 0.648, 0.000)
Y (0.310, 0.000, 0.500)
Y (0.352, 0.352, 0.000)
Y (0.648, 0.000, 0.000)
Y (0.690, 0.690, 0.500)



## LaY2 (PBE)

Data for a relaxed LaY2 crystal.

Calculated values
Theoretical density in g/cm³: 5.10
Space-group type: C2/m (12)
Formation energy in meV/atom: 23
Size of the total moment in μB per cell: 0.0
E above lowest polymorph in meV per atom: 8

Lattice parameters (Å, degrees): 6.886 6.886 8.616 103.02 103.02 31.25
Sites, in units of the cell vectors:
La (0.026, 0.026, 0.303)
La (0.974, 0.974, 0.697)
Y (0.303, 0.303, 0.360)
Y (0.357, 0.357, 0.973)
Y (0.643, 0.643, 0.027)
Y (0.697, 0.697, 0.640)



## La2Y17 (PBE)

Data for a relaxed La2Y17 crystal.

Calculated values
Theoretical density in g/cm³: 4.47
Space-group type: R-3m (166)
Formation energy in meV/atom: 273
Size of the total moment in μB per cell: 2.8

Lattice parameters (Å, degrees): 8.826 8.826 8.826 80.91 80.91 80.91
Sites, in units of the cell vectors:
La (0.170, 0.170, 0.170)
La (0.830, 0.830, 0.830)
Y (0.000, 0.500, 0.500)
Y (0.136, 0.136, 0.650)
Y (0.136, 0.650, 0.136)
Y (0.202, 0.500, 0.798)
Y (0.202, 0.798, 0.500)
Y (0.350, 0.864, 0.864)
Y (0.401, 0.401, 0.401)
Y (0.500, 0.000, 0.500)
Y (0.500, 0.202, 0.798)
Y (0.500, 0.500, 0.000)
Y (0.500, 0.798, 0.202)
Y (0.599, 0.599, 0.599)
Y (0.650, 0.136, 0.136)
Y (0.798, 0.202, 0.500)
Y (0.798, 0.500, 0.202)
Y (0.864, 0.350, 0.864)
Y (0.864, 0.864, 0.350)



## La4Y3 (PBE)

Data for a relaxed La4Y3 crystal.

Calculated values
Theoretical density in g/cm³: 5.40
Space-group type: P6/mmm (191)
Formation energy in meV/atom: 236
Size of the total moment in μB per cell: 0.0
E above lowest polymorph in meV per atom: 211

Lattice parameters (Å, degrees): 6.544 6.544 6.817 90.00 90.00 120.00
Sites, in units of the cell vectors:
La (0.000, 0.000, 0.220)
La (0.000, 0.000, 0.780)
La (0.333, 0.667, 0.000)
La (0.667, 0.333, 0.000)
Y (0.000, 0.500, 0.500)
Y (0.500, 0.000, 0.500)
Y (0.500, 0.500, 0.500)



## LaY3 (PBE)

Data for a relaxed LaY3 crystal.

Calculated values
Theoretical density in g/cm³: 5.06
Space-group type: Cmmm (65)
Formation energy in meV/atom: 18
Size of the total moment in μB per cell: 0.0

Lattice parameters (Å, degrees): 6.213 6.213 3.638 90.00 90.00 108.72
Sites, in units of the cell vectors:
La (0.000, 0.000, 0.000)
Y (0.000, 0.500, 0.500)
Y (0.500, 0.000, 0.500)
Y (0.500, 0.500, 0.000)



## LaY4 (PBE)

Data for a relaxed LaY4 crystal.

Calculated values
Theoretical density in g/cm³: 4.60
Space-group type: Pm-3m (221)
Formation energy in meV/atom: 654
Size of the total moment in μB per cell: 0.0
E above lowest polymorph in meV per atom: 635

Lattice parameters (Å, degrees): 5.631 5.631 5.631 90.00 90.00 90.00
Sites, in units of the cell vectors:
La (0.000, 0.000, 0.000)
Y (0.000, 0.000, 0.500)
Y (0.000, 0.500, 0.000)
Y (0.500, 0.000, 0.000)
Y (0.500, 0.500, 0.500)